No. 1
Below is an optimized crystal structure of MnReIr, with properties calculated at the PBE-GGA level.

Geometry as POSCAR:
```
MnReIr
1.0
-0.235 -3.858 -1.113
-0.903 -2.825 2.716
-3.573 -1.842 -0.127
Ir Mn Re
1 1 1
Direct
0.500 0.500 0.500
0.750 0.750 0.750
0.000 0.000 0.000
```

- Calculated density: 15.645 g cm⁻³
- VASP energy: -9.725 eV/atom
- Crystal system: cubic
- E above lowest polymorph: 0.515 eV/atom
- Formation energy: 0.4342 eV/atom

No. 2
Below is an optimized crystal structure of KBaPb2, with properties calculated at the PBE-GGA level.

Geometry as POSCAR:
```
KBaPb2
1.0
-0.280 3.931 3.598
2.936 -2.828 3.319
4.352 2.154 -2.015
Pb Ba K
2 1 1
Direct
0.000 0.500 0.000
0.000 0.000 0.500
0.500 0.500 0.500
0.500 0.000 0.000
```

- Calculated density: 6.653 g cm⁻³
- VASP energy: -2.883 eV/atom
- Crystal system: tetragonal
- E above lowest polymorph: 0.104 eV/atom
- Formation energy: -0.2734 eV/atom

No. 3
Below is an optimized crystal structure of Re2MoI2, with properties calculated at the PBE-GGA level.

Geometry as POSCAR:
```
Re2MoI2
1.0
7.699 0.000 0.000
0.000 7.699 0.000
0.000 0.000 3.147
Re Mo I
4 2 4
Direct
0.648 0.852 0.500
0.148 0.648 0.500
0.352 0.148 0.500
0.852 0.352 0.500
0.500 0.500 0.000
0.000 0.000 0.000
0.844 0.656 0.000
0.656 0.156 0.000
0.156 0.344 0.000
0.344 0.844 0.000
```

- Formation energy from raw total energies: 9.0 eV per formula unit
- Calculated density: 12.857 g cm⁻³
- VASP energy: -5.970 eV/atom
- Crystal system: tetragonal
- E above lowest polymorph: 0.000 eV/atom